# NpAgSnO6 PBE relaxed
data_NpAgSnO6
_chemical_formula_sum 'Np2 Ag2 Sn2 O12'
_space_group_name_H-M_alt 'P -3 1 c'
_space_group_IT_number 163
_space_group_name_Hall '-P 3 2c'
_cell_length_a 5.5362
_cell_length_b 5.5362
_cell_length_c 10.0148
_cell_angle_alpha 90.00
_cell_angle_beta 90.00
_cell_angle_gamma 120.00
loop_
_atom_site_label
_atom_site_type_symbol
_atom_site_fract_x
_atom_site_fract_y
_atom_site_fract_z
Np1 Np 0.3333 0.6667 0.2500
Ag1 Ag 0.0000 0.0000 0.0000
Sn1 Sn 0.3333 0.6667 0.7500
O1 O 0.0068 0.3689 0.1396
# Raw formation energy = -1.65 eV/atom
# Size of the total moment = 0.00 μB per cell